# PaMnPdPt

A relaxed structure of PaMnPdPt (PBE-GGA, Alexandria via LeMat-Bulk).

a = 4.755 Å, b = 4.755 Å, c = 4.755 Å
α = 60.00°, β = 60.00°, γ = 60.00°
Last column: magnetic moment on the atom in μB.
Sites, in units of the cell vectors:
Pd1 0.750 0.750 0.750  0.06
Pa1 0.500 0.500 0.500  -0.10
Mn1 0.000 0.000 0.000  3.92
Pt1 0.250 0.250 0.250  0.09

Calculated values
spin magnetization	4.20	μB/f.u.
ΔH_f (0 K)	-0.44	eV/atom
DFT total energy	-7.9187	eV/atom